First-principles (PBE) data for a relaxed structure of HgPt2RhI, as listed in Alexandria.

abc: 4.977 4.977 5.107
angles: 90.00 90.00 90.00
Space group P4/mmm (No. 123)
One atom of each set of equivalent atoms:
Hg 0.000 0.000 0.000 [1 per cell]
Pt 0.000 0.500 0.500 [2 per cell]
Rh 0.500 0.500 0.500 [1 per cell]
I 0.500 0.500 0.000 [1 per cell]

Summary:
Its uncorrected formation energy is 0.9653 eV per atom. The calculated volume is 25.302 Å³/atom. The calculation puts the magnetization at 1.55 Bohr magnetons per cell.

First-principles (PBE) data for a relaxed structure of CsCrSb2Te, as listed in Alexandria.

abc: 6.241 6.241 6.373
angles: 90.00 90.00 90.00
Space group P4/mmm (No. 123)
One atom of each set of equivalent atoms:
Cs 0.000 0.000 0.000 [1 per cell]
Cr 0.500 0.500 0.500 [1 per cell]
Sb 0.000 0.500 0.000 [2 per cell]
Te 0.000 0.000 0.500 [1 per cell]

Summary:
Its uncorrected formation energy is 1.6857 eV per atom. The calculated volume is 49.641 Å³/atom. The calculation puts the magnetization at 3.79 Bohr magnetons per cell. The energy above the lowest structure with this stoichiometry comes out at 1.647 eV/atom.

First-principles (PBE) data for a relaxed structure of HgB, as listed in Alexandria.

abc: 6.775 8.686 12.370
angles: 90.00 90.00 90.00
Space group Fddd (No. 70, origin choice 2)
One atom of each set of equivalent atoms:
Hg 0.125 0.125 0.343 [16 per cell]
B 0.125 0.034 0.125 [16 per cell]

Summary:
As for the calculated formation energy: 0.843 eV per atom. The calculated volume is 22.750 Å³/atom. The calculation puts the magnetization at 0.00 Bohr magnetons per cell. The energy above the lowest structure with this stoichiometry comes out at 0.364 eV/atom.

First-principles (PBE) data for a relaxed structure of Ce2AgGe3Pd4, as listed in Alexandria.

abc: 4.186 4.186 11.123
angles: 90.00 90.00 90.00
Space group P-4m2 (No. 115)
One atom of each set of equivalent atoms:
Ce 0.000 0.500 0.248 [2 per cell]
Ag 0.000 0.000 0.500 [1 per cell]
Ge 0.000 0.500 0.873 [2 per cell]
Ge 0.500 0.500 0.500 [1 per cell]
Pd 0.000 0.000 0.000 [1 per cell]
Pd 0.000 0.500 0.653 [2 per cell]
Pd 0.500 0.500 0.000 [1 per cell]

Summary:
As for the calculated formation energy: -0.665 eV per atom. The calculated volume is 19.492 Å³/atom. The calculation puts the magnetization at 1.75 Bohr magnetons per cell.

Question: Number 4 is which compound?
Answer: Ce2AgGe3Pd4